Compound: Dy4Ho5Sc
Source: Alexandria via LeMat-Bulk
Functional: PBE
Structure: optimized geometry

Cell lengths 10.5274, 10.5274, 5.7227 Å; angles 90.00, 90.00, 90.00 degrees
Space group I4mm (No. 107)
Unique sites:
Dy1 0.0000 0.3227 0.0000 [8 per cell]
Ho1 0.0000 0.0000 0.2272 [2 per cell]
Ho2 0.1868 0.1868 0.5100 [8 per cell]
Sc1 0.0000 0.0000 0.7574 [2 per cell]

Results
Fermi-level density of states	26.298	states/eV per cell
energy above the most stable polymorph in this dataset	0.123	eV/atom
energy of formation from the pure elements	0.24	eV per atom



Compound: La3Pm2Dy3
Source: Alexandria via LeMat-Bulk
Functional: PBE
Structure: optimized geometry

Cell lengths 24.4774, 3.6861, 6.3101 Å; angles 90.00, 104.76, 90.00 degrees
Space group C2/m (No. 12)
Unique sites:
La1 0.0000 0.0000 0.0000 [2 per cell]
La2 0.1249 0.0000 0.4615 [4 per cell]
Pm1 0.2479 0.0000 0.2456 [4 per cell]
Dy1 0.0000 0.5000 0.5000 [2 per cell]
Dy2 0.1252 0.5000 0.9593 [4 per cell]

Results
Fermi-level density of states	22.052	states/eV per cell
energy above the most stable polymorph in this dataset	0.000	eV/atom
energy of formation from the pure elements	0.01	eV per atom



Compound: ErTi2Al8
Source: Alexandria via LeMat-Bulk
Functional: PBE
Structure: optimized geometry

Cell lengths 4.9768, 5.5383, 14.1399 Å; angles 90.00, 90.00, 90.00 degrees
Space group Immm (No. 71)
Unique sites:
Er1 0.0000 0.0000 0.0000 [2 per cell]
Ti1 0.0000 0.5000 0.1793 [4 per cell]
Al1 0.0000 0.0000 0.2065 [4 per cell]
Al2 0.0000 0.2626 0.3654 [8 per cell]
Al3 0.2436 0.5000 0.0000 [4 per cell]

Results
Fermi-level density of states	16.330	states/eV per cell
energy of formation from the pure elements	-0.22	eV per atom



Compound: ScSi2Mo
Source: Alexandria via LeMat-Bulk
Functional: PBE
Structure: optimized geometry

Cell lengths 3.9694, 3.9694, 3.9064 Å; angles 90.00, 90.00, 90.00 degrees
Space group P4/mmm (No. 123)
Unique sites:
Sc1 0.0000 0.0000 0.0000 [1 per cell]
Si1 0.0000 0.5000 0.5000 [2 per cell]
Mo1 0.5000 0.5000 0.0000 [1 per cell]

Results
formation energy (no corrections)	-0.210	eV/atom
Fermi-level density of states	3.497	states/eV per cell
energy above the most stable polymorph in this dataset	0.328	eV/atom



Compound: Nb2Sn2S
Source: Alexandria via LeMat-Bulk
Functional: PBE
Structure: optimized geometry

Cell lengths 6.4746, 6.4746, 4.8747 Å; angles 90.00, 90.00, 90.00 degrees
Space group P4/mbm (No. 127)
Unique sites:
Nb1 0.1529 0.3471 0.0000 [4 per cell]
Sn1 0.1658 0.6658 0.5000 [4 per cell]
S1 0.0000 0.0000 0.0000 [2 per cell]

Results
formation energy (no corrections)	-0.136	eV/atom
Fermi-level density of states	8.303	states/eV per cell



Compound: LiZr2Sc
Source: Alexandria via LeMat-Bulk
Functional: PBE
Structure: optimized geometry

Cell lengths 4.4499, 4.4499, 8.7236 Å; angles 90.00, 90.00, 90.00 degrees
Space group I-4m2 (No. 119)
Unique sites:
Li1 0.0000 0.0000 0.0000 [2 per cell]
Zr1 0.0000 0.0000 0.5000 [2 per cell]
Zr2 0.0000 0.5000 0.2500 [2 per cell]
Sc1 0.0000 0.5000 0.7500 [2 per cell]

Results
Fermi-level density of states	10.910	states/eV per cell
energy of formation from the pure elements	0.21	eV per atom



Compound: Al5Zn4
Source: Alexandria via LeMat-Bulk
Functional: PBE
Structure: optimized geometry

Cell lengths 8.3864, 8.3864, 4.0949 Å; angles 90.00, 90.00, 90.00 degrees
Space group I4/mmm (No. 139)
Unique sites:
Al1 0.0000 0.0000 0.0000 [2 per cell]
Al2 0.1681 0.1681 0.5000 [8 per cell]
Zn1 0.0000 0.3356 0.0000 [8 per cell]

Results
Fermi-level density of states	3.743	states/eV per cell
energy above the most stable polymorph in this dataset	0.000	eV/atom
energy of formation from the pure elements	0.02	eV per atom



Compound: SmMg2Sc
Source: Alexandria via LeMat-Bulk
Functional: PBE
Structure: optimized geometry

Cell lengths 3.3256, 3.3256, 33.1698 Å; angles 90.00, 90.00, 120.00 degrees
Space group R3m (No. 160, hexagonal axes)
Unique sites:
Sm1 0.0000 0.0000 0.0000 [3 per cell]
Mg1 0.0000 0.0000 0.5802 [3 per cell]
Mg2 0.0000 0.0000 0.7558 [3 per cell]
Sc1 0.0000 0.0000 0.1687 [3 per cell]

Results
Fermi-level density of states	14.239	states/eV per cell
energy above the most stable polymorph in this dataset	0.125	eV/atom
energy of formation from the pure elements	0.06	eV per atom